# 1
5
Lattice="4.4861 0.0000 0.0000 0.0000 4.4861 0.0000 0.0000 0.0000 5.9579" Properties=species:S:1:pos:R:3 comment="PBE-GGA RbZrIN2, optimized geometry" e_above_lowest_polymorph_mev_per_atom=2303 mass_density_g_cm3=4.59 e_form_raw_ev_per_atom=2.29 energy_ev_per_fu=-16.3 magmom_total_mub_per_fu=1.2 pbc="T T T"
I 0.0000 0.0000 2.9789
N 0.0000 2.2431 0.0000
N 2.2431 0.0000 0.0000
Rb 0.0000 0.0000 0.0000
Zr 2.2431 2.2431 2.9789

---

# 2
10
Lattice="8.5721 0.0000 0.0000 0.0000 8.5721 0.0000 4.2860 4.2860 5.9406" Properties=species:S:1:pos:R:3 comment="PBE-GGA Rb2ZrI6N, optimized geometry" mass_density_g_cm3=3.95 e_form_raw_ev_per_atom=-0.55 energy_ev_per_fu=-33.6 magmom_total_mub_per_fu=3.0 pbc="T T T"
I 8.5721 8.5721 2.8849
Rb 8.5721 4.2860 2.9703
I 2.0392 2.0392 0.0000
N 4.2860 4.2860 0.0000
I 6.5328 2.0392 0.0000
Zr 0.0000 0.0000 0.0000
I 4.2860 4.2860 3.0557
Rb 4.2860 8.5721 2.9703
I 2.0392 6.5328 0.0000
I 6.5328 6.5328 0.0000

---

# 3
5
Lattice="-0.8555 -4.3627 0.2984 2.2900 -0.1879 3.8177 -5.0832 1.2094 3.1086" Properties=species:S:1:pos:R:3 comment="PBE-GGA RbZrIN2, optimized geometry" e_above_lowest_polymorph_mev_per_atom=0 mass_density_g_cm3=4.56 e_form_raw_ev_per_atom=-0.01 energy_ev_per_fu=-27.8 magmom_total_mub_per_fu=1.4 pbc="T T T"
I -2.5416 0.6047 1.5543
N 1.1450 -0.0939 1.9088
N -0.4277 -2.1813 0.1492
Zr 0.0000 0.0000 0.0000
Rb -1.8243 -1.6706 3.6124

---

# 4
5
Lattice="-1.5055 2.6326 -5.9893 0.8487 -5.6428 -2.6936 -6.4798 -1.4483 0.9922" Properties=species:S:1:pos:R:3 comment="PBE-GGA RbZrI2N, optimized geometry" e_above_lowest_polymorph_mev_per_atom=2471 mass_density_g_cm3=2.60 e_form_raw_ev_per_atom=1.71 energy_ev_per_fu=-12.4 magmom_total_mub_per_fu=0.0 pbc="T T T"
Rb 0.0000 0.0000 0.0000
Zr 0.4244 -2.8214 -1.3468
I -0.7528 1.3163 -2.9947
N -3.5683 -2.2292 -3.8454
I -3.2399 -0.7241 0.4961